# 1
Crystalline BeAu2SeI at its relaxed geometry, computed with GGA-PBEsol.

Summary:
As for the crystal system: tetragonal. The calculation puts the final energy at -2.9989 eV/atom. The energy relative to the elements, uncorrected comes out at 2.47 eV/f.u. The value obtained for the volume is 22.20 Å³ per atom.

a b c (Å): 5.189 5.189 4.121
angles (deg): 90.00 90.00 90.00
Space group P4/mmm (No. 123)
Asymmetric unit:
Be1 0.000 0.000 0.000 x1
Au1 0.000 0.500 0.500 x2
Se1 0.000 0.000 0.500 x1
I1 0.500 0.500 0.000 x1

---

# 2
Crystalline TlSbTe2 at its relaxed geometry, computed with GGA-PBEsol.

Summary:
As for the crystal system: monoclinic. The calculation puts the final energy at -3.6939 eV/atom. The energy relative to the elements, uncorrected comes out at -0.54 eV/f.u. The energy relative to the lowest polymorph listed for this composition is 0.068 eV per atom. The value obtained for the volume is 31.30 Å³ per atom.

a b c (Å): 12.507 4.431 4.518
angles (deg): 90.00 90.14 90.00
Space group Cm (No. 8)
Asymmetric unit:
Tl1 0.000 0.000 0.000 x2
Sb1 0.253 0.000 0.488 x2
Te1 0.231 0.500 0.998 x2
Te2 0.471 0.000 0.501 x2

---

# 3
Crystalline CuSb2Os at its relaxed geometry, computed with GGA-PBEsol.

Summary:
As for the crystal system: orthorhombic. The calculation puts the final energy at -6.0168 eV/atom. The energy relative to the elements, uncorrected comes out at 1.60 eV/f.u. The energy relative to the lowest polymorph listed for this composition is 0.086 eV per atom. The value obtained for the volume is 19.21 Å³ per atom.

a b c (Å): 3.078 4.021 12.417
angles (deg): 90.00 90.00 90.00
Space group Imm2 (No. 44)
Asymmetric unit:
Cu1 0.000 0.000 0.000 x2
Sb1 0.000 0.000 0.391 x2
Sb2 0.000 0.500 0.145 x2
Os1 0.000 0.500 0.713 x2

---

# 4
Crystalline Fe3NiP4 at its relaxed geometry, computed with GGA-PBEsol.

Summary:
As for the crystal system: monoclinic. As for the energy of formation from the pure elements: -67.1 kJ/mol of atoms. The calculation puts the final energy at -7.7218 eV/atom. The value obtained for the volume is 11.11 Å³ per atom.

a b c (Å): 4.979 3.208 5.562
angles (deg): 90.00 90.32 90.00
Space group Pm (No. 6)
Asymmetric unit:
Fe1 0.000 0.000 0.000 x1
Fe2 0.003 0.500 0.600 x1
Fe3 0.502 0.500 0.502 x1
Ni1 0.498 0.000 0.102 x1
P1 0.179 0.500 0.226 x1
P2 0.301 0.000 0.712 x1
P3 0.700 0.500 0.874 x1
P4 0.816 0.000 0.382 x1

---

# 5
Crystalline AgGeRu2I at its relaxed geometry, computed with GGA-PBEsol.

Summary:
As for the crystal system: tetragonal. The calculation puts the final energy at -3.9871 eV/atom. The energy relative to the elements, uncorrected comes out at 10.43 eV/f.u. The value obtained for the volume is 24.39 Å³ per atom.

a b c (Å): 4.905 4.905 5.068
angles (deg): 90.00 90.00 90.00
Space group P4/mmm (No. 123)
Asymmetric unit:
Ag1 0.000 0.000 0.000 x1
Ge1 0.500 0.500 0.500 x1
Ru1 0.000 0.500 0.000 x2
I1 0.000 0.000 0.500 x1

---

# 6
Crystalline CaZrCo2 at its relaxed geometry, computed with GGA-PBEsol.

Summary:
As for the crystal system: tetragonal. As for the energy of formation from the pure elements: 34.3 kJ/mol of atoms. The calculation puts the final energy at -6.3190 eV/atom. The value obtained for the volume is 16.23 Å³ per atom.

a b c (Å): 3.710 3.710 9.436
angles (deg): 90.00 90.00 90.00
Space group I-4m2 (No. 119)
Asymmetric unit:
Ca1 0.000 0.000 0.000 x2
Zr1 0.000 0.500 0.750 x2
Co1 0.000 0.000 0.500 x2
Co2 0.000 0.500 0.250 x2

---

# 7
Crystalline TlOsRh2 at its relaxed geometry, computed with GGA-PBEsol.

Summary:
As for the crystal system: orthorhombic. As for the energy of formation from the pure elements: 39.8 kJ/mol of atoms. The calculation puts the final energy at -7.3686 eV/atom. The energy relative to the lowest polymorph listed for this composition is 0.065 eV per atom. The value obtained for the volume is 15.60 Å³ per atom.

a b c (Å): 2.807 3.780 5.880
angles (deg): 90.00 90.00 90.00
Space group Pmm2 (No. 25)
Asymmetric unit:
Tl1 0.000 0.000 0.000 x1
Os1 0.500 0.500 0.304 x1
Rh1 0.000 0.000 0.494 x1
Rh2 0.500 0.500 0.747 x1

---

# 8
Crystalline PtPb2 at its relaxed geometry, computed with GGA-PBEsol.

Summary:
As for the crystal system: tetragonal. As for the energy of formation from the pure elements: -13.1 kJ/mol of atoms. The calculation puts the final energy at -5.1231 eV/atom. The value obtained for the volume is 23.03 Å³ per atom.

a b c (Å): 6.943 6.943 5.733
angles (deg): 90.00 90.00 90.00
Space group I4/mcm (No. 140)
Asymmetric unit:
Pt1 0.000 0.000 0.250 x4
Pb1 0.160 0.340 0.000 x8